Compound: ZrCo2HAu
Source: Alexandria via LeMat-Bulk
Functional: PBE-GGA
Structure: optimized geometry

a = 3.932 Å, b = 3.932 Å, c = 3.971 Å
α = 90.00°, β = 90.00°, γ = 90.00°
Sites, in units of the cell vectors:
Zr: 0.000 0.000 0.000
Co: 0.000 0.500 0.500
Co: 0.500 0.000 0.500
H: 0.000 0.000 0.500
Au: 0.500 0.500 0.000

Results
Size of the total moment in Bohr magnetons per cell: 0.0
Uncorrected energy in eV per atom: -6.04

Compound: Ce3CoTe
Source: Alexandria via LeMat-Bulk
Functional: PBE-GGA
Structure: optimized geometry

a = 5.136 Å, b = 5.136 Å, c = 5.136 Å
α = 90.00°, β = 90.00°, γ = 90.00°
Sites, in units of the cell vectors:
Ce: 0.000 0.000 0.500
Ce: 0.000 0.500 0.000
Ce: 0.500 0.000 0.000
Co: 0.000 0.000 0.000
Te: 0.500 0.500 0.500

Results
Uncorrected formation energy in kJ per mole of atoms: -42.9
Size of the total moment in Bohr magnetons per cell: 3.0
Distance to the lowest polymorph of the same formula in meV per atom: 0

Compound: KP2SO
Source: Alexandria via LeMat-Bulk
Functional: PBE-GGA
Structure: optimized geometry

a = 5.987 Å, b = 5.987 Å, c = 4.447 Å
α = 90.00°, β = 90.00°, γ = 90.00°
Sites, in units of the cell vectors:
K: 0.000 0.000 0.000
P: 0.000 0.500 0.000
P: 0.500 0.000 0.000
S: 0.500 0.500 0.500
O: 0.000 0.000 0.500

Results
Uncorrected formation energy in kJ per mole of atoms: 174.7
Size of the total moment in Bohr magnetons per cell: 4.6
Distance to the lowest polymorph of the same formula in meV per atom: 1405